## PmPrAg2 (PBE-GGA)

Data for an optimized crystal structure of PmPrAg2.

Properties
ΔH_f (0 K) in eV/atom: -0.260
Crystal system: tetragonal
Total DFT energy (no corrections) in eV per atom: -4.0678

abc: 3.753 3.753 7.530
angles: 90.00 90.00 90.00
Space group P4/mmm (No. 123)
Unique sites:
Pm 0.000 0.000 0.000 x1
Pr 0.000 0.000 0.500 x1
Ag 0.500 0.500 0.241 x2


## Pm2PrAg2 (PBE-GGA)

Data for an optimized crystal structure of Pm2PrAg2.

Properties
ΔH_f (0 K) in eV/atom: -0.085
Crystal system: monoclinic
Total DFT energy (no corrections) in eV per atom: -4.0813

abc: 5.331 5.001 11.471
angles: 90.00 96.33 90.00
Space group P2_1/m (No. 11)
Unique sites:
Pm 0.159 0.250 0.114 x2
Pm 0.251 0.750 0.509 x2
Pr 0.300 0.250 0.754 x2
Ag 0.219 0.250 0.365 x2
Ag 0.363 0.750 0.997 x2


## Pm3PrAg4 (PBE-GGA)

Data for an optimized crystal structure of Pm3PrAg4.

Properties
ΔH_f (0 K) in eV/atom: -0.261
Crystal system: tetragonal
Total DFT energy (no corrections) in eV per atom: -4.0660

abc: 5.318 5.318 7.423
angles: 90.00 90.00 90.00
Space group P4/mmm (No. 123)
Unique sites:
Pm 0.000 0.000 0.000 x1
Pm 0.000 0.000 0.500 x1
Pm 0.500 0.500 0.000 x1
Pr 0.500 0.500 0.500 x1
Ag 0.000 0.500 0.246 x4


## PmPr6Ag (PBE-GGA)

Data for an optimized crystal structure of PmPr6Ag.

Properties
ΔH_f (0 K) in eV/atom: 0.029
Crystal system: triclinic
Total DFT energy (no corrections) in eV per atom: -4.5054

abc: 6.524 6.524 6.526
angles: 96.02 96.15 96.18
Space group P-1 (No. 2)
Unique sites:
Pm 0.000 0.000 0.000 x1
Pr 0.068 0.264 0.549 x2
Pr 0.263 0.548 0.069 x2
Pr 0.452 0.932 0.737 x2
Ag 0.500 0.500 0.500 x1